No. 1
{
  "formula": "KTlRhPb",
  "functional": "PBE",
  "state": "relaxed",
  "lattice": [[3.687, -2.155, 0.000], [3.687, 2.155, 0.000], [-2.542, 0.000, 7.662]],
  "species": ["K", "Tl", "Rh", "Pb"],
  "fractional_positions": [[0.000, 0.000, 0.000], [0.223, 0.223, 0.669], [0.499, 0.499, 0.499], [0.779, 0.779, 0.337]],
  "dos_at_fermi_per_ev_cell": 2.6,
  "e_form_mev_per_atom": 3.5,
  "e_above_lowest_polymorph_mev_per_atom": 53,
  "spacegroup": "Cm (8)",
  "magmom_total_mub_per_cell": 0.0
}

***

No. 2
{
  "formula": "KTlRhPb",
  "functional": "PBE",
  "state": "relaxed",
  "lattice": [[5.885, -2.613, 0.000], [5.885, 2.613, 0.000], [-1.742, 0.000, 4.187]],
  "species": ["K", "Tl", "Rh", "Pb"],
  "fractional_positions": [[0.000, 0.000, 0.000], [0.330, 0.330, 0.330], [0.769, 0.769, 0.269], [0.648, 0.648, 0.648]],
  "dos_at_fermi_per_ev_cell": 2.3,
  "e_form_mev_per_atom": 15.8,
  "e_above_lowest_polymorph_mev_per_atom": 65,
  "spacegroup": "Cm (8)",
  "magmom_total_mub_per_cell": 0.0
}

***

No. 3
{
  "formula": "KTlRhPb",
  "functional": "PBE",
  "state": "relaxed",
  "lattice": [[2.209, 1.275, 7.231], [-2.209, 1.275, 7.231], [0.000, -2.550, 7.231]],
  "species": ["K", "Tl", "Rh", "Pb"],
  "fractional_positions": [[0.000, 0.000, 0.000], [0.557, 0.557, 0.557], [0.169, 0.169, 0.169], [0.784, 0.784, 0.784]],
  "dos_at_fermi_per_ev_cell": 2.3,
  "e_form_mev_per_atom": -4.7,
  "e_above_lowest_polymorph_mev_per_atom": 45,
  "spacegroup": "R3m (160)",
  "magmom_total_mub_per_cell": 0.0
}

***

No. 4
{
  "formula": "KTlRhPb",
  "functional": "PBE",
  "state": "relaxed",
  "lattice": [[3.506, 0.000, 0.000], [0.000, 2.059, 8.045], [0.000, -2.059, 8.045]],
  "species": ["K", "Tl", "Rh", "Pb"],
  "fractional_positions": [[0.000, 0.000, 0.000], [0.500, 0.669, 0.669], [0.000, 0.208, 0.208], [0.500, 0.342, 0.342]],
  "dos_at_fermi_per_ev_cell": 1.9,
  "e_form_mev_per_atom": 4.3,
  "e_above_lowest_polymorph_mev_per_atom": 54,
  "spacegroup": "Amm2 (38)",
  "magmom_total_mub_per_cell": 0.0
}

***

No. 5
{
  "formula": "KTlRhPb",
  "functional": "PBE",
  "state": "relaxed",
  "lattice": [[3.636, 0.000, 0.000], [0.000, 3.675, 0.000], [-1.801, 0.000, 8.447]],
  "species": ["K", "Tl", "Rh", "Pb"],
  "fractional_positions": [[0.000, 0.000, 0.000], [0.347, 0.500, 0.690], [0.219, 0.000, 0.445], [0.654, 0.500, 0.313]],
  "dos_at_fermi_per_ev_cell": 1.8,
  "e_form_mev_per_atom": -12.5,
  "e_above_lowest_polymorph_mev_per_atom": 37,
  "spacegroup": "Pm (6)",
  "magmom_total_mub_per_cell": 0.0
}

***

No. 6
{
  "formula": "KTlRhPb",
  "functional": "PBE",
  "state": "relaxed",
  "lattice": [[4.697, -1.852, 0.000], [4.697, 1.852, 0.000], [-2.482, 0.000, 7.182]],
  "species": ["K", "Tl", "Rh", "Pb"],
  "fractional_positions": [[0.000, 0.000, 0.000], [0.194, 0.194, 0.665], [0.535, 0.535, 0.396], [0.816, 0.816, 0.358]],
  "dos_at_fermi_per_ev_cell": 3.3,
  "e_form_mev_per_atom": 32.6,
  "e_above_lowest_polymorph_mev_per_atom": 82,
  "spacegroup": "Cm (8)",
  "magmom_total_mub_per_cell": 0.0
}

***

No. 7
{
  "formula": "KTlRhPb",
  "functional": "PBE",
  "state": "relaxed",
  "lattice": [[2.324, 1.342, 6.495], [-2.324, 1.342, 6.495], [0.000, -2.684, 6.495]],
  "species": ["K", "Tl", "Rh", "Pb"],
  "fractional_positions": [[0.000, 0.000, 0.000], [0.791, 0.791, 0.791], [0.176, 0.176, 0.176], [0.548, 0.548, 0.548]],
  "dos_at_fermi_per_ev_cell": 2.2,
  "e_form_mev_per_atom": -7.3,
  "e_above_lowest_polymorph_mev_per_atom": 42,
  "spacegroup": "R3m (160)",
  "magmom_total_mub_per_cell": 0.0
}

***

No. 8
{
  "formula": "KZnRhPb2",
  "functional": "PBE",
  "state": "relaxed",
  "lattice": [[5.340, 0.000, 0.000], [0.000, 5.340, 0.000], [0.000, 0.000, 5.043]],
  "species": ["K", "Zn", "Rh", "Pb", "Pb"],
  "fractional_positions": [[0.000, 0.000, 0.000], [0.500, 0.500, 0.000], [0.500, 0.500, 0.500], [0.000, 0.500, 0.500], [0.500, 0.000, 0.500]],
  "dos_at_fermi_per_ev_cell": 3.9,
  "e_form_mev_per_atom": -11.7,
  "spacegroup": "P4/mmm (123)",
  "magmom_total_mub_per_cell": 0.0
}

***

No. 9
{
  "formula": "KZrRhPb2",
  "functional": "PBE",
  "state": "relaxed",
  "lattice": [[5.599, 0.000, 0.000], [0.000, 5.599, 0.000], [0.000, 0.000, 5.903]],
  "species": ["K", "Zr", "Rh", "Pb", "Pb"],
  "fractional_positions": [[0.000, 0.000, 0.000], [0.000, 0.000, 0.500], [0.500, 0.500, 0.000], [0.000, 0.500, 0.500], [0.500, 0.000, 0.500]],
  "dos_at_fermi_per_ev_cell": 9.7,
  "e_form_mev_per_atom": 1247.2,
  "spacegroup": "P4/mmm (123)",
  "magmom_total_mub_per_cell": 2.0
}

***

No. 10
{
  "formula": "KRuPb",
  "functional": "PBE",
  "state": "relaxed",
  "lattice": [[0.000, 3.598, 3.598], [3.598, 0.000, 3.598], [3.598, 3.598, 0.000]],
  "species": ["K", "Ru", "Pb"],
  "fractional_positions": [[0.000, 0.000, 0.000], [0.750, 0.750, 0.750], [0.250, 0.250, 0.250]],
  "dos_at_fermi_per_ev_cell": 10.6,
  "e_form_mev_per_atom": 1691.6,
  "e_above_lowest_polymorph_mev_per_atom": 1162,
  "spacegroup": "F-43m (216)",
  "magmom_total_mub_per_cell": 1.5
}

***

No. 11
{
  "formula": "KRuPb",
  "functional": "PBE",
  "state": "relaxed",
  "lattice": [[-1.847, 1.847, 6.264], [1.847, -1.847, 6.264], [1.847, 1.847, -6.264]],
  "species": ["K", "Ru", "Pb"],
  "fractional_positions": [[0.000, 0.000, 0.000], [0.718, 0.718, 0.000], [0.276, 0.276, 0.000]],
  "dos_at_fermi_per_ev_cell": 2.5,
  "e_form_mev_per_atom": 530.1,
  "e_above_lowest_polymorph_mev_per_atom": 0,
  "spacegroup": "I4mm (107)",
  "magmom_total_mub_per_cell": 0.3
}

***

No. 12
{
  "formula": "KRu2Pb",
  "functional": "PBE",
  "state": "relaxed",
  "lattice": [[1.579, 0.911, 9.722], [-1.579, 0.911, 9.722], [0.000, -1.823, 9.722]],
  "species": ["K", "Ru", "Ru", "Pb"],
  "fractional_positions": [[0.000, 0.000, 0.000], [0.238, 0.238, 0.238], [0.762, 0.762, 0.762], [0.500, 0.500, 0.500]],
  "dos_at_fermi_per_ev_cell": 4.6,
  "e_form_mev_per_atom": 1022.6,
  "spacegroup": "R-3m (166)",
  "magmom_total_mub_per_cell": 0.0
}

***

No. 13
{
  "formula": "KRu2Pb",
  "functional": "PBE",
  "state": "relaxed",
  "lattice": [[-1.576, 2.671, 4.966], [1.576, -2.671, 4.966], [1.576, 2.671, -4.966]],
  "species": ["K", "Ru", "Ru", "Pb"],
  "fractional_positions": [[0.000, 0.000, 0.000], [0.279, 0.779, 0.500], [0.721, 0.221, 0.500], [0.500, 0.500, 0.000]],
  "dos_at_fermi_per_ev_cell": 3.4,
  "e_form_mev_per_atom": 1109.6,
  "spacegroup": "Immm (71)",
  "magmom_total_mub_per_cell": 0.0
}

***

No. 14
{
  "formula": "KRu2Pb",
  "functional": "PBE",
  "state": "relaxed",
  "lattice": [[-2.300, 2.300, 9.859], [2.300, -2.300, 9.859], [2.300, 2.300, -9.859]],
  "species": ["K", "K", "Ru", "Ru", "Ru", "Ru", "Pb", "Pb"],
  "fractional_positions": [[0.000, 0.000, 0.000], [0.750, 0.250, 0.500], [0.278, 0.625, 0.153], [0.375, 0.528, 0.653], [0.472, 0.125, 0.847], [0.875, 0.722, 0.347], [0.250, 0.750, 0.500], [0.500, 0.500, 0.000]],
  "dos_at_fermi_per_ev_cell": 8.2,
  "e_form_mev_per_atom": 998.9,
  "spacegroup": "I-42d (122)",
  "magmom_total_mub_per_cell": 0.0
}

***

No. 15
{
  "formula": "KRuPb",
  "functional": "PBE",
  "state": "relaxed",
  "lattice": [[0.000, 3.415, 3.415], [3.415, 0.000, 3.415], [3.415, 3.415, 0.000]],
  "species": ["K", "Ru", "Pb"],
  "fractional_positions": [[0.000, 0.000, 0.000], [0.250, 0.250, 0.250], [0.500, 0.500, 0.500]],
  "dos_at_fermi_per_ev_cell": 2.7,
  "e_form_mev_per_atom": 853.4,
  "e_above_lowest_polymorph_mev_per_atom": 323,
  "spacegroup": "F-43m (216)",
  "magmom_total_mub_per_cell": 0.2
}

***

No. 16
{
  "formula": "KRu3Pb",
  "functional": "PBE",
  "state": "relaxed",
  "lattice": [[4.791, 0.000, 0.000], [0.000, 4.791, 0.000], [0.000, 0.000, 4.791]],
  "species": ["K", "Ru", "Ru", "Ru", "Pb"],
  "fractional_positions": [[0.000, 0.000, 0.000], [0.000, 0.000, 0.500], [0.000, 0.500, 0.000], [0.500, 0.000, 0.000], [0.500, 0.500, 0.500]],
  "dos_at_fermi_per_ev_cell": 6.9,
  "e_form_mev_per_atom": 2603.2,
  "e_above_lowest_polymorph_mev_per_atom": 739,
  "spacegroup": "Pm-3m (221)",
  "magmom_total_mub_per_cell": 5.0
}

***

No. 17
{
  "formula": "KRu2Pb",
  "functional": "PBE",
  "state": "relaxed",
  "lattice": [[2.954, 0.000, 0.000], [0.000, 3.636, 0.000], [-0.032, 0.000, 8.629]],
  "species": ["K", "Ru", "Ru", "Pb"],
  "fractional_positions": [[0.000, 0.000, 0.000], [0.002, 0.000, 0.575], [0.504, 0.500, 0.697], [0.500, 0.500, 0.351]],
  "dos_at_fermi_per_ev_cell": 2.5,
  "e_form_mev_per_atom": 464.5,
  "spacegroup": "Pm (6)",
  "magmom_total_mub_per_cell": 0.0
}

***

No. 18
{
  "formula": "KRu3Pb",
  "functional": "PBE",
  "state": "relaxed",
  "lattice": [[5.142, 0.000, 0.000], [0.000, 5.142, 0.000], [0.000, 0.000, 5.142]],
  "species": ["K", "Ru", "Ru", "Ru", "Pb"],
  "fractional_positions": [[0.000, 0.000, 0.000], [0.000, 0.500, 0.500], [0.500, 0.000, 0.500], [0.500, 0.500, 0.000], [0.500, 0.500, 0.500]],
  "dos_at_fermi_per_ev_cell": 6.9,
  "e_form_mev_per_atom": 1864.6,
  "e_above_lowest_polymorph_mev_per_atom": 0,
  "spacegroup": "Pm-3m (221)",
  "magmom_total_mub_per_cell": 4.8
}

***

No. 19
{
  "formula": "KRu2Pb",
  "functional": "PBE",
  "state": "relaxed",
  "lattice": [[3.080, -4.580, 0.000], [3.080, 4.580, 0.000], [0.000, 0.000, 2.914]],
  "species": ["K", "Ru", "Ru", "Pb"],
  "fractional_positions": [[0.000, 0.000, 0.000], [0.000, 0.500, 0.500], [0.500, 0.000, 0.500], [0.500, 0.500, 0.000]],
  "dos_at_fermi_per_ev_cell": 3.6,
  "e_form_mev_per_atom": 1196.3,
  "spacegroup": "Cmmm (65)",
  "magmom_total_mub_per_cell": 2.6
}

***

No. 20
{
  "formula": "K4RuPb",
  "functional": "PBE",
  "state": "relaxed",
  "lattice": [[0.000, 4.776, 4.776], [4.776, 0.000, 4.776], [4.776, 4.776, 0.000]],
  "species": ["K", "K", "K", "K", "Ru", "Pb"],
  "fractional_positions": [[0.125, 0.125, 0.125], [0.125, 0.125, 0.626], [0.125, 0.626, 0.125], [0.626, 0.125, 0.125], [0.500, 0.500, 0.500], [0.750, 0.750, 0.750]],
  "dos_at_fermi_per_ev_cell": 5.7,
  "e_form_mev_per_atom": 944.0,
  "spacegroup": "F-43m (216)",
  "magmom_total_mub_per_cell": 2.2
}

***

Number 1: E -3.627 eV per atom. Number 2: E -3.615 eV per atom. Number 3: E -3.636 eV per atom. Number 4: E -3.627 eV per atom. Number 5: E -3.643 eV per atom. Number 6: E -3.598 eV per atom. Number 7: E -3.638 eV per atom. Number 8: E -3.440 eV per atom. Number 9: E -3.636 eV per atom. Number 10: E -3.002 eV per atom. Number 11: E -4.164 eV per atom. Number 12: E -4.817 eV per atom. Number 13: E -4.730 eV per atom. Number 14: E -4.841 eV per atom. Number 15: E -3.840 eV per atom. Number 16: E -3.923 eV per atom. Number 17: E -5.375 eV per atom. Number 18: E -4.662 eV per atom. Number 19: E -4.643 eV per atom. Number 20: E -1.952 eV per atom.